First-principles (PBE) data for a relaxed structure of NaMnPd2, as listed in the Alexandria database.

**Calculated volume**: 16.210 Å³/atom
**Energy of formation**: -5.5 kJ per mole of atoms
**Excess energy over the best structure of this formula in the dataset**: 102 meV/atom

a = 4.5094 Å, b = 4.5094 Å, c = 4.5094 Å
α = 60.00°, β = 60.00°, γ = 60.00°
Closest atoms and distances in Å follow each position.
Element x y z (fractional)
Na 0.0000 0.0000 0.0000  8 Pd 2.76
Mn 0.5000 0.5000 0.5000  8 Pd 2.76
Pd 0.2500 0.2500 0.2500  4 Mn 2.76, 4 Na 2.76
Pd 0.7500 0.7500 0.7500  4 Na 2.76, 4 Mn 2.76



First-principles (PBE) data for a relaxed structure of POsPbCl2, as listed in the Alexandria database.

**Calculated volume**: 29.405 Å³/atom
**Excess energy over the best structure of this formula in the dataset**: 1207 meV/atom

a = 5.1633 Å, b = 5.1633 Å, c = 5.5149 Å
α = 90.00°, β = 90.00°, γ = 90.00°
Closest atoms and distances in Å follow each position.
Element x y z (fractional)
P 0.0000 0.0000 0.0000  2 Pb 2.76
Os 0.5000 0.5000 0.0000  4 P 3.65, 8 Cl 3.78
Pb 0.0000 0.0000 0.5000  4 Cl 2.58, 2 P 2.76
Cl 0.0000 0.5000 0.5000  2 Pb 2.58
Cl 0.5000 0.0000 0.5000  2 Pb 2.58